[1]
! PBE-GGA Pm6PuS8, relaxed; values from VASP
&SYSTEM
  ibrav = 0, nat = 15, ntyp = 3
/
ATOMIC_SPECIES
Pm 145.00 Pm.upf
Pu 244.00 Pu.upf
S 32.06 S.upf
CELL_PARAMETERS angstrom
0.000 5.691 5.691
5.691 0.000 5.691
5.691 5.691 0.000
ATOMIC_POSITIONS crystal
Pm 0.000 0.000 0.500
Pm 0.000 0.500 0.000
Pm 0.000 0.500 0.500
Pm 0.500 0.000 0.000
Pm 0.500 0.000 0.500
Pm 0.500 0.500 0.000
Pu 0.000 0.000 0.000
S 0.248 0.248 0.752
S 0.248 0.752 0.248
S 0.248 0.752 0.752
S 0.250 0.250 0.250
S 0.750 0.750 0.750
S 0.752 0.248 0.248
S 0.752 0.248 0.752
S 0.752 0.752 0.248
! Crystal system   cubic
! Electronic total energy   -106.0 eV/cell
! Symmetry   No. 225
! V   24.58 Å³/atom
! Size of the total moment   6.3 μB per cell

[2]
! PBE-GGA AcPrMgGe, relaxed; values from VASP
&SYSTEM
  ibrav = 0, nat = 4, ntyp = 4
/
ATOMIC_SPECIES
Ac 227.00 Ac.upf
Pr 140.91 Pr.upf
Mg 24.30 Mg.upf
Ge 72.64 Ge.upf
CELL_PARAMETERS angstrom
0.000 3.882 3.882
3.882 0.000 3.882
3.882 3.882 0.000
ATOMIC_POSITIONS crystal
Ac 0.000 0.000 0.000
Pr 0.500 0.500 0.500
Mg 0.750 0.750 0.750
Ge 0.250 0.250 0.250
! Crystal system   cubic
! Electronic total energy   -16.3 eV/cell
! Symmetry   No. 216
! V   29.26 Å³/atom
! Formation energy   -1.21 eV per formula unit
! Size of the total moment   0.0 μB per cell

[3]
! PBE-GGA CoTcMo, relaxed; values from VASP
&SYSTEM
  ibrav = 0, nat = 6, ntyp = 3
/
ATOMIC_SPECIES
Co 58.93 Co.upf
Tc 98.00 Tc.upf
Mo 95.94 Mo.upf
CELL_PARAMETERS angstrom
2.659 -2.627 0.000
2.659 2.627 0.000
-1.099 0.000 6.021
ATOMIC_POSITIONS crystal
Co 0.250 0.750 0.000
Co 0.750 0.250 0.000
Tc 0.192 0.192 0.697
Tc 0.808 0.808 0.303
Mo 0.308 0.308 0.302
Mo 0.692 0.692 0.698
! Crystal system   monoclinic
! Electronic total energy   -55.1 eV/cell
! Distance to the lowest polymorph of the same formula   151 meV per atom
! Symmetry   No. 12
! V   14.02 Å³/atom
! Formation energy   0.73 eV per formula unit
! Size of the total moment   1.4 μB per cell

[4]
! PBE-GGA SrIr2Rh, relaxed; values from VASP
&SYSTEM
  ibrav = 0, nat = 4, ntyp = 3
/
ATOMIC_SPECIES
Sr 87.62 Sr.upf
Ir 192.22 Ir.upf
Rh 102.91 Rh.upf
CELL_PARAMETERS angstrom
2.790 0.000 0.000
0.000 3.929 0.000
0.000 0.000 6.824
ATOMIC_POSITIONS crystal
Sr 0.000 0.000 0.000
Ir 0.500 0.500 0.312
Ir 0.500 0.500 0.688
Rh 0.000 0.000 0.500
! Crystal system   orthorhombic
! Electronic total energy   -25.6 eV/cell
! Distance to the lowest polymorph of the same formula   87 meV per atom
! Symmetry   No. 47
! V   18.70 Å³/atom
! Formation energy   1.11 eV per formula unit
! Size of the total moment   0.0 μB per cell